Entry from Alexandria: crystalline HfTaReOs at its relaxed geometry (PBE).

Values from the calculation:
N(E_F) (states/eV/atom): 0.24
Energy relative to the lowest polymorph listed for this composition (eV/atom): 0.000
Total moment (μB/f.u.): 0.00
ρ (kg/m³): 18220
Energy of formation (eV per atom): -0.5047

Cell: 6.4494 6.4494 6.4494 Å, 90.00 90.00 90.00°
Space group F-43m (No. 216)
Inequivalent atoms, fractional coordinates:
Hf (0.0000, 0.0000, 0.0000) (multiplicity 4)
Ta (0.0000, 0.0000, 0.5000) (multiplicity 4)
Re (0.2500, 0.2500, 0.7500) (multiplicity 4)
Os (0.2500, 0.2500, 0.2500) (multiplicity 4)

Entry from Alexandria: crystalline ZrMn2OsPt at its relaxed geometry (PBE).

Values from the calculation:
N(E_F) (states/eV/atom): 0.95
Total moment (μB/f.u.): 8.12
ρ (kg/m³): 8952
Energy of formation (eV per atom): 1.1550

Cell: 4.6617 4.6617 5.0056 Å, 90.00 90.00 90.00°
Space group P4/mmm (No. 123)
Inequivalent atoms, fractional coordinates:
Zr (0.0000, 0.0000, 0.0000) (multiplicity 1)
Mn (0.0000, 0.5000, 0.5000) (multiplicity 2)
Os (0.5000, 0.5000, 0.0000) (multiplicity 1)
Pt (0.0000, 0.0000, 0.5000) (multiplicity 1)

Entry from Alexandria: crystalline CaCu2Sb at its relaxed geometry (PBE).

Values from the calculation:
N(E_F) (states/eV/atom): 0.42
Total moment (μB/f.u.): 0.00
Uncorrected energy (eV per atom): -3.70
ρ (kg/m³): 4870

Cell: 4.7233 4.7233 17.6647 Å, 90.00 90.00 90.00°
Space group I-42d (No. 122)
Inequivalent atoms, fractional coordinates:
Ca (0.0000, 0.0000, 0.0000) (multiplicity 4)
Cu (0.0617, 0.2500, 0.6250) (multiplicity 8)
Sb (0.0000, 0.0000, 0.5000) (multiplicity 4)

Entry from Alexandria: crystalline SrYTlIn at its relaxed geometry (PBE).

Values from the calculation:
N(E_F) (states/eV/atom): 0.68
Energy relative to the lowest polymorph listed for this composition (eV/atom): 0.060
Total moment (μB/f.u.): 0.00
ρ (kg/m³): 6795
Energy of formation (eV per atom): -0.3719

Cell: 7.8547 7.8547 7.8547 Å, 90.00 90.00 90.00°
Space group F-43m (No. 216)
Inequivalent atoms, fractional coordinates:
Sr (0.0000, 0.0000, 0.0000) (multiplicity 4)
Y (0.0000, 0.0000, 0.5000) (multiplicity 4)
Tl (0.2500, 0.2500, 0.2500) (multiplicity 4)
In (0.2500, 0.2500, 0.7500) (multiplicity 4)

Entry from Alexandria: crystalline Rb3NF7 at its relaxed geometry (PBE).

Values from the calculation:
N(E_F) (states/eV/atom): 0.55
Total moment (μB/f.u.): 1.35
Uncorrected energy (eV per atom): -3.70
ρ (kg/m³): 2849

Cell: 9.4091 12.8563 7.7754 Å, 90.00 90.00 90.00°
Space group C222_1 (No. 20)
Inequivalent atoms, fractional coordinates:
Rb (0.9998, 0.0000, 0.0000) (multiplicity 4)
Rb (0.2258, 0.3013, 0.1635) (multiplicity 8)
N (0.0266, 0.5000, 0.5000) (multiplicity 4)
F (0.0000, 0.1489, 0.7500) (multiplicity 4)
F (0.0000, 0.1629, 0.2500) (multiplicity 4)
F (0.0000, 0.4561, 0.2500) (multiplicity 4)
F (0.1166, 0.4202, 0.5385) (multiplicity 8)
F (0.2223, 0.1198, 0.3455) (multiplicity 8)

Entry from Alexandria: crystalline CeCdRhO6 at its relaxed geometry (PBE).

Values from the calculation:
N(E_F) (states/eV/atom): 0.63
Total moment (μB/f.u.): 2.33
Uncorrected energy (eV per atom): -6.32
ρ (kg/m³): 6042

Cell: 5.5750 5.5750 9.2188 Å, 90.00 90.00 120.00°
Space group P-31c (No. 163)
Inequivalent atoms, fractional coordinates:
Ce (0.3333, 0.6667, 0.2500) (multiplicity 2)
Cd (0.0000, 0.0000, 0.0000) (multiplicity 2)
Rh (0.3333, 0.6667, 0.7500) (multiplicity 2)
O (0.0362, 0.3752, 0.6325) (multiplicity 12)

Entry from Alexandria: crystalline Zr3Al at its relaxed geometry (PBE).

Values from the calculation:
N(E_F) (states/eV/atom): 0.98
Total moment (μB/f.u.): 0.00
ρ (kg/m³): 5801
Energy of formation (eV per atom): -0.1726

Cell: 3.1469 5.0806 5.3826 Å, 90.00 90.00 90.00°
Space group Pmm2 (No. 25)
Inequivalent atoms, fractional coordinates:
Zr (0.0000, 0.0000, 0.0000) (multiplicity 1)
Zr (0.0000, 0.5000, 0.3679) (multiplicity 1)
Zr (0.5000, 0.0000, 0.5141) (multiplicity 1)
Al (0.5000, 0.5000, 0.8594) (multiplicity 1)

Entry from Alexandria: crystalline Bi4Se at its relaxed geometry (PBE).

Values from the calculation:
N(E_F) (states/eV/atom): 1.50
Total moment (μB/f.u.): 0.00
Uncorrected energy (eV per atom): -3.34
ρ (kg/m³): 8631

Cell: 5.6042 5.6042 5.6042 Å, 90.00 90.00 90.00°
Space group Pm-3m (No. 221)
Inequivalent atoms, fractional coordinates:
Bi (0.0000, 0.0000, 0.0000) (multiplicity 1)
Bi (0.0000, 0.5000, 0.5000) (multiplicity 3)
Se (0.5000, 0.5000, 0.5000) (multiplicity 1)

What is the formula in the eighth record?
Bi4Se

What is the formula in the eighth record?
Bi4Se